Below is a relaxed BeCrI2O crystal, with properties calculated at the PBE with a Hubbard U level.

## Properties
crystal system: tetragonal
distance to the lowest polymorph of the same formula: 0.00 eV/f.u.

abc: 6.286 6.286 2.985
angles: 90.00 90.00 90.00
Element x y z (fractional)
I (0.000, 0.500, 0.000)
I (0.500, 0.000, 0.000)
Be (0.000, 0.000, 0.000)
Cr (0.500, 0.500, 0.500)
O (0.000, 0.000, 0.500)